(1)
Li3Cd3Ag2Hg: optimized geometry, GGA-PBE.

```
data_Li3Cd3Ag2Hg
_symmetry_space_group_name_H-M 'P 1'
_symmetry_Int_Tables_number 1
_cell_length_a 8.106
_cell_length_b 8.106
_cell_length_c 2.976
_cell_angle_alpha 90.00
_cell_angle_beta 90.00
_cell_angle_gamma 120.00
loop_
_symmetry_equiv_pos_as_xyz
'x,y,z'
loop_
_atom_site_label
_atom_site_type_symbol
_atom_site_fract_x
_atom_site_fract_y
_atom_site_fract_z
_atom_site_occupancy
Li1 Li 0.000 0.306 0.000 1
Li2 Li 0.306 0.000 0.000 1
Li3 Li 0.694 0.694 0.000 1
Cd1 Cd 0.000 0.631 0.500 1
Cd2 Cd 0.369 0.369 0.500 1
Cd3 Cd 0.631 0.000 0.500 1
Ag1 Ag 0.333 0.667 0.000 1
Ag2 Ag 0.667 0.333 0.000 1
Hg1 Hg 0.000 0.000 0.500 1
```

DOS at the Fermi energy: 0.199 states/eV per atom
E_tot: -1.836 eV per atom
Spin magnetization: 0.000 μB per cell
Density: 7.6 Mg/m³

=====

(2)
MgCd5Ag2Hg: optimized geometry, GGA-PBE.

```
data_MgCd5Ag2Hg
_symmetry_space_group_name_H-M 'P 1'
_symmetry_Int_Tables_number 1
_cell_length_a 8.388
_cell_length_b 8.388
_cell_length_c 8.388
_cell_angle_alpha 118.94
_cell_angle_beta 118.94
_cell_angle_gamma 91.85
loop_
_symmetry_equiv_pos_as_xyz
'x,y,z'
loop_
_atom_site_label
_atom_site_type_symbol
_atom_site_fract_x
_atom_site_fract_y
_atom_site_fract_z
_atom_site_occupancy
Mg1 Mg 0.250 0.750 0.500 1
Mg2 Mg 0.750 0.250 0.500 1
Cd1 Cd 0.000 0.000 0.000 1
Cd2 Cd 0.072 0.572 0.908 1
Cd3 Cd 0.164 0.072 0.500 1
Cd4 Cd 0.336 0.836 0.908 1
Cd5 Cd 0.428 0.336 0.500 1
Cd6 Cd 0.500 0.500 0.000 1
Cd7 Cd 0.572 0.664 0.500 1
Cd8 Cd 0.664 0.164 0.092 1
Cd9 Cd 0.836 0.928 0.500 1
Cd10 Cd 0.928 0.428 0.092 1
Ag1 Ag 0.108 0.392 0.500 1
Ag2 Ag 0.392 0.892 0.283 1
Ag3 Ag 0.608 0.108 0.717 1
Ag4 Ag 0.892 0.608 0.500 1
Hg1 Hg 0.250 0.250 0.000 1
Hg2 Hg 0.750 0.750 0.000 1
```

DOS at the Fermi energy: 0.289 states/eV per atom
E_tot: -1.279 eV per atom
Spin magnetization: 0.000 μB per cell
Density: 7.9 Mg/m³

=====

(3)
Mg2CdAgHg: optimized geometry, GGA-PBE.

```
data_Mg2CdAgHg
_symmetry_space_group_name_H-M 'P 1'
_symmetry_Int_Tables_number 1
_cell_length_a 5.885
_cell_length_b 4.714
_cell_length_c 8.043
_cell_angle_alpha 90.00
_cell_angle_beta 111.38
_cell_angle_gamma 90.00
loop_
_symmetry_equiv_pos_as_xyz
'x,y,z'
loop_
_atom_site_label
_atom_site_type_symbol
_atom_site_fract_x
_atom_site_fract_y
_atom_site_fract_z
_atom_site_occupancy
Mg1 Mg 0.193 0.250 0.093 1
Mg2 Mg 0.220 0.750 0.718 1
Mg3 Mg 0.780 0.250 0.282 1
Mg4 Mg 0.807 0.750 0.907 1
Cd1 Cd 0.338 0.250 0.515 1
Cd2 Cd 0.662 0.750 0.485 1
Ag1 Ag 0.484 0.750 0.100 1
Ag2 Ag 0.516 0.250 0.900 1
Hg1 Hg 0.093 0.750 0.288 1
Hg2 Hg 0.907 0.250 0.712 1
```

DOS at the Fermi energy: 0.224 states/eV per atom
E_tot: -1.609 eV per atom
Spin magnetization: 0.000 μB per cell
Density: 7.5 Mg/m³

=====

(4)
Mg3CdAg3Hg2: optimized geometry, GGA-PBE.

```
data_Mg3CdAg3Hg2
_symmetry_space_group_name_H-M 'P 1'
_symmetry_Int_Tables_number 1
_cell_length_a 8.145
_cell_length_b 8.145
_cell_length_c 3.149
_cell_angle_alpha 90.00
_cell_angle_beta 90.00
_cell_angle_gamma 120.00
loop_
_symmetry_equiv_pos_as_xyz
'x,y,z'
loop_
_atom_site_label
_atom_site_type_symbol
_atom_site_fract_x
_atom_site_fract_y
_atom_site_fract_z
_atom_site_occupancy
Mg1 Mg 0.000 0.367 0.000 1
Mg2 Mg 0.367 0.000 0.000 1
Mg3 Mg 0.633 0.633 0.000 1
Cd1 Cd 0.000 0.000 0.000 1
Ag1 Ag 0.000 0.700 0.500 1
Ag2 Ag 0.300 0.300 0.500 1
Ag3 Ag 0.700 0.000 0.500 1
Hg1 Hg 0.333 0.667 0.500 1
Hg2 Hg 0.667 0.333 0.500 1
```

DOS at the Fermi energy: 0.497 states/eV per atom
E_tot: -1.784 eV per atom
Spin magnetization: 0.000 μB per cell
Density: 8.4 Mg/m³

=====

(5)
Mg4CdAg2Hg: optimized geometry, GGA-PBE.

```
data_Mg4CdAg2Hg
_symmetry_space_group_name_H-M 'P 1'
_symmetry_Int_Tables_number 1
_cell_length_a 8.323
_cell_length_b 8.323
_cell_length_c 8.323
_cell_angle_alpha 33.65
_cell_angle_beta 33.65
_cell_angle_gamma 33.65
loop_
_symmetry_equiv_pos_as_xyz
'x,y,z'
loop_
_atom_site_label
_atom_site_type_symbol
_atom_site_fract_x
_atom_site_fract_y
_atom_site_fract_z
_atom_site_occupancy
Mg1 Mg 0.124 0.124 0.124 1
Mg2 Mg 0.373 0.373 0.373 1
Mg3 Mg 0.627 0.627 0.627 1
Mg4 Mg 0.876 0.876 0.876 1
Cd1 Cd 0.500 0.500 0.500 1
Ag1 Ag 0.247 0.247 0.247 1
Ag2 Ag 0.753 0.753 0.753 1
Hg1 Hg 0.000 0.000 0.000 1
```

DOS at the Fermi energy: 0.354 states/eV per atom
E_tot: -1.856 eV per atom
Spin magnetization: 0.000 μB per cell
Density: 6.6 Mg/m³

=====

(6)
MgCd2Ag5Hg: optimized geometry, GGA-PBE.

```
data_MgCd2Ag5Hg
_symmetry_space_group_name_H-M 'P 1'
_symmetry_Int_Tables_number 1
_cell_length_a 7.396
_cell_length_b 7.396
_cell_length_c 11.504
_cell_angle_alpha 90.00
_cell_angle_beta 90.00
_cell_angle_gamma 144.58
loop_
_symmetry_equiv_pos_as_xyz
'x,y,z'
loop_
_atom_site_label
_atom_site_type_symbol
_atom_site_fract_x
_atom_site_fract_y
_atom_site_fract_z
_atom_site_occupancy
Mg1 Mg 0.222 0.778 0.500 1
Mg2 Mg 0.778 0.222 0.000 1
Cd1 Cd 0.026 0.974 0.988 1
Cd2 Cd 0.185 0.815 0.224 1
Cd3 Cd 0.815 0.185 0.724 1
Cd4 Cd 0.974 0.026 0.488 1
Ag1 Ag 0.017 0.983 0.737 1
Ag2 Ag 0.214 0.786 0.808 1
Ag3 Ag 0.393 0.607 0.369 1
Ag4 Ag 0.406 0.594 0.872 1
Ag5 Ag 0.407 0.593 0.622 1
Ag6 Ag 0.593 0.407 0.122 1
Ag7 Ag 0.594 0.406 0.372 1
Ag8 Ag 0.607 0.393 0.869 1
Ag9 Ag 0.786 0.214 0.308 1
Ag10 Ag 0.983 0.017 0.237 1
Hg1 Hg 0.377 0.623 0.116 1
Hg2 Hg 0.623 0.377 0.616 1
```

DOS at the Fermi energy: 0.314 states/eV per atom
E_tot: -2.019 eV per atom
Spin magnetization: 0.000 μB per cell
Density: 9.0 Mg/m³

=====

(7)
Mg5Cd2AgHg2: optimized geometry, GGA-PBE.

```
data_Mg5Cd2AgHg2
_symmetry_space_group_name_H-M 'P 1'
_symmetry_Int_Tables_number 1
_cell_length_a 12.115
_cell_length_b 12.115
_cell_length_c 3.081
_cell_angle_alpha 90.00
_cell_angle_beta 90.00
_cell_angle_gamma 90.00
loop_
_symmetry_equiv_pos_as_xyz
'x,y,z'
loop_
_atom_site_label
_atom_site_type_symbol
_atom_site_fract_x
_atom_site_fract_y
_atom_site_fract_z
_atom_site_occupancy
Mg1 Mg 0.000 0.500 0.000 1
Mg2 Mg 0.012 0.197 0.000 1
Mg3 Mg 0.197 0.988 0.000 1
Mg4 Mg 0.303 0.488 0.000 1
Mg5 Mg 0.488 0.697 0.000 1
Mg6 Mg 0.500 0.000 0.000 1
Mg7 Mg 0.512 0.303 0.000 1
Mg8 Mg 0.697 0.512 0.000 1
Mg9 Mg 0.803 0.012 0.000 1
Mg10 Mg 0.988 0.803 0.000 1
Cd1 Cd 0.171 0.671 0.500 1
Cd2 Cd 0.329 0.171 0.500 1
Cd3 Cd 0.671 0.829 0.500 1
Cd4 Cd 0.829 0.329 0.500 1
Ag1 Ag 0.000 0.000 0.500 1
Ag2 Ag 0.500 0.500 0.500 1
Hg1 Hg 0.149 0.351 0.500 1
Hg2 Hg 0.351 0.851 0.500 1
Hg3 Hg 0.649 0.149 0.500 1
Hg4 Hg 0.851 0.649 0.500 1
```

DOS at the Fermi energy: 0.311 states/eV per atom
E_tot: -1.416 eV per atom
Spin magnetization: 0.000 μB per cell
Density: 6.3 Mg/m³

=====

(8)
MgCdAgHg: optimized geometry, GGA-PBE.

```
data_MgCdAgHg
_symmetry_space_group_name_H-M 'P 1'
_symmetry_Int_Tables_number 1
_cell_length_a 5.047
_cell_length_b 5.047
_cell_length_c 5.047
_cell_angle_alpha 125.88
_cell_angle_beta 125.88
_cell_angle_gamma 80.09
loop_
_symmetry_equiv_pos_as_xyz
'x,y,z'
loop_
_atom_site_label
_atom_site_type_symbol
_atom_site_fract_x
_atom_site_fract_y
_atom_site_fract_z
_atom_site_occupancy
Mg1 Mg 0.000 0.000 0.000 1
Cd1 Cd 0.500 0.500 0.000 1
Ag1 Ag 0.750 0.250 0.500 1
Hg1 Hg 0.250 0.750 0.500 1
```

DOS at the Fermi energy: 0.285 states/eV per atom
E_tot: -1.521 eV per atom
Spin magnetization: 0.000 μB per cell
Energy above the lowest structure with this stoichiometry: 0.0000 eV per atom
Density: 9.1 Mg/m³

=====

(9)
Mg2Cd2Ag2Hg: optimized geometry, GGA-PBE.

```
data_Mg2Cd2Ag2Hg
_symmetry_space_group_name_H-M 'P 1'
_symmetry_Int_Tables_number 1
_cell_length_a 5.324
_cell_length_b 5.324
_cell_length_c 6.664
_cell_angle_alpha 96.24
_cell_angle_beta 96.24
_cell_angle_gamma 48.80
loop_
_symmetry_equiv_pos_as_xyz
'x,y,z'
loop_
_atom_site_label
_atom_site_type_symbol
_atom_site_fract_x
_atom_site_fract_y
_atom_site_fract_z
_atom_site_occupancy
Mg1 Mg 0.206 0.206 0.158 1
Mg2 Mg 0.794 0.794 0.842 1
Cd1 Cd 0.082 0.082 0.704 1
Cd2 Cd 0.918 0.918 0.296 1
Ag1 Ag 0.358 0.358 0.572 1
Ag2 Ag 0.642 0.642 0.428 1
Hg1 Hg 0.500 0.500 0.000 1
```

DOS at the Fermi energy: 0.234 states/eV per atom
E_tot: -1.692 eV per atom
Spin magnetization: 0.000 μB per cell
Density: 8.1 Mg/m³

=====

(10)
Mg3Cd3AgHg2: optimized geometry, GGA-PBE.

```
data_Mg3Cd3AgHg2
_symmetry_space_group_name_H-M 'P 1'
_symmetry_Int_Tables_number 1
_cell_length_a 8.179
_cell_length_b 8.179
_cell_length_c 3.308
_cell_angle_alpha 90.00
_cell_angle_beta 90.00
_cell_angle_gamma 120.00
loop_
_symmetry_equiv_pos_as_xyz
'x,y,z'
loop_
_atom_site_label
_atom_site_type_symbol
_atom_site_fract_x
_atom_site_fract_y
_atom_site_fract_z
_atom_site_occupancy
Mg1 Mg 0.000 0.366 0.000 1
Mg2 Mg 0.366 0.000 0.000 1
Mg3 Mg 0.634 0.634 0.000 1
Cd1 Cd 0.000 0.711 0.500 1
Cd2 Cd 0.289 0.289 0.500 1
Cd3 Cd 0.711 0.000 0.500 1
Ag1 Ag 0.000 0.000 0.000 1
Hg1 Hg 0.333 0.667 0.500 1
Hg2 Hg 0.667 0.333 0.500 1
```

DOS at the Fermi energy: 0.390 states/eV per atom
E_tot: -1.353 eV per atom
Spin magnetization: 0.000 μB per cell
Density: 8.0 Mg/m³

=====

(11)
MgCdAgHg: optimized geometry, GGA-PBE.

```
data_MgCdAgHg
_symmetry_space_group_name_H-M 'P 1'
_symmetry_Int_Tables_number 1
_cell_length_a 4.865
_cell_length_b 4.865
_cell_length_c 4.865
_cell_angle_alpha 60.00
_cell_angle_beta 60.00
_cell_angle_gamma 60.00
loop_
_symmetry_equiv_pos_as_xyz
'x,y,z'
loop_
_atom_site_label
_atom_site_type_symbol
_atom_site_fract_x
_atom_site_fract_y
_atom_site_fract_z
_atom_site_occupancy
Mg1 Mg 0.000 0.000 0.000 1
Cd1 Cd 0.500 0.500 0.500 1
Ag1 Ag 0.250 0.250 0.250 1
Hg1 Hg 0.750 0.750 0.750 1
```

DOS at the Fermi energy: 0.502 states/eV per atom
E_tot: -1.513 eV per atom
Spin magnetization: 0.000 μB per cell
Energy above the lowest structure with this stoichiometry: 0.0083 eV per atom
Density: 9.1 Mg/m³

=====

(12)
Mg5CdAg2Hg: optimized geometry, GGA-PBE.

```
data_Mg5CdAg2Hg
_symmetry_space_group_name_H-M 'P 1'
_symmetry_Int_Tables_number 1
_cell_length_a 8.697
_cell_length_b 8.697
_cell_length_c 8.697
_cell_angle_alpha 127.79
_cell_angle_beta 127.79
_cell_angle_gamma 76.96
loop_
_symmetry_equiv_pos_as_xyz
'x,y,z'
loop_
_atom_site_label
_atom_site_type_symbol
_atom_site_fract_x
_atom_site_fract_y
_atom_site_fract_z
_atom_site_occupancy
Mg1 Mg 0.000 0.000 0.000 1
Mg2 Mg 0.069 0.569 0.898 1
Mg3 Mg 0.171 0.069 0.500 1
Mg4 Mg 0.329 0.829 0.898 1
Mg5 Mg 0.431 0.329 0.500 1
Mg6 Mg 0.500 0.500 0.000 1
Mg7 Mg 0.569 0.671 0.500 1
Mg8 Mg 0.671 0.171 0.102 1
Mg9 Mg 0.829 0.931 0.500 1
Mg10 Mg 0.931 0.431 0.102 1
Cd1 Cd 0.250 0.250 0.000 1
Cd2 Cd 0.750 0.750 0.000 1
Ag1 Ag 0.122 0.378 0.500 1
Ag2 Ag 0.378 0.878 0.256 1
Ag3 Ag 0.622 0.122 0.744 1
Ag4 Ag 0.878 0.622 0.500 1
Hg1 Hg 0.250 0.750 0.500 1
Hg2 Hg 0.750 0.250 0.500 1
```

DOS at the Fermi energy: 0.314 states/eV per atom
E_tot: -1.704 eV per atom
Spin magnetization: 0.000 μB per cell
Density: 5.4 Mg/m³

=====

The DFT formation energy results, record by record, are as follows: -226; 74; -157; -133; -194; -21; -90; -105; -117; -133; -97; -49 meV/atom.